A plane-wave DFT calculation with PBE was carried out for an optimized crystal structure of Sr8Hg2Ir.

Values from the calculation:
Excess energy over the best structure of this formula in the dataset (meV per atom): 43.4
Density of states at the Fermi level (states/eV per atom): 1.154
E (eV per atom): -2.2969

Lattice parameters (Å, degrees): 20.2516 5.7278 7.5547 90.00 106.17 90.00
Space group C2/m (No. 12)
Inequivalent atoms, fractional coordinates:
Sr 0.0294 0.0000 0.3050 (multiplicity 4)
Sr 0.0870 0.5000 0.9057 (multiplicity 4)
Sr 0.1486 0.5000 0.4594 (multiplicity 4)
Sr 0.2135 0.0000 0.8102 (multiplicity 4)
Hg 0.1881 0.0000 0.2313 (multiplicity 4)
Ir 0.0000 0.5000 0.5000 (multiplicity 2)

A plane-wave DFT calculation with PBE was carried out for an optimized crystal structure of SrHg2Ir2.

Values from the calculation:
Density of states at the Fermi level (states/eV per atom): 0.226
E (eV per atom): -3.9666

Lattice parameters (Å, degrees): 4.6056 4.6056 11.0114 90.00 90.00 90.00
Space group I4/mmm (No. 139)
Inequivalent atoms, fractional coordinates:
Sr 0.0000 0.0000 0.0000 (multiplicity 2)
Hg 0.0000 0.5000 0.2500 (multiplicity 4)
Ir 0.0000 0.0000 0.3928 (multiplicity 4)

A plane-wave DFT calculation with PBE was carried out for an optimized crystal structure of SrHg3Ir.

Values from the calculation:
Excess energy over the best structure of this formula in the dataset (meV per atom): 0.0
Density of states at the Fermi level (states/eV per atom): 0.615
E (eV per atom): -2.3725

Lattice parameters (Å, degrees): 5.2617 5.2617 5.2617 90.00 90.00 90.00
Space group Pm-3m (No. 221)
Inequivalent atoms, fractional coordinates:
Sr 0.0000 0.0000 0.0000 (multiplicity 1)
Hg 0.0000 0.5000 0.5000 (multiplicity 3)
Ir 0.5000 0.5000 0.5000 (multiplicity 1)